TbEr3Sc2S6 | PBE | optimized geometry

```
TbEr3Sc2S6
1.0
-6.544 -0.486 -0.918
4.088 -4.407 -2.786
0.377 -1.978 6.301
S Sc Tb Er
6 2 1 3
direct
0.918 0.575 0.755
0.575 0.918 0.755
0.263 0.263 0.759
0.737 0.737 0.241
0.082 0.425 0.245
0.425 0.082 0.245
0.334 0.666 0.000
0.666 0.334 0.000
0.000 0.000 0.000
0.838 0.162 0.500
0.500 0.500 0.500
0.162 0.838 0.500
```

Output
Uncorrected energy in eV per cell: -78.88
Crystal system: monoclinic
E_form (uncorrected) in kJ per mole of atoms: -186

Tb3ErSc2S6 | PBE | optimized geometry

```
Tb3ErSc2S6
1.0
-0.851 5.412 -3.762
-3.537 -0.787 5.571
5.950 1.432 2.663
S Tb Sc Er
6 3 2 1
direct
0.738 0.738 0.234
0.419 0.079 0.237
0.581 0.921 0.763
0.262 0.262 0.766
0.921 0.581 0.763
0.079 0.419 0.237
0.836 0.164 0.500
0.500 0.500 0.500
0.164 0.836 0.500
0.333 0.667 0.000
0.667 0.333 0.000
0.000 0.000 0.000
```

Output
Uncorrected energy in eV per cell: -79.24
Crystal system: monoclinic
E_form (uncorrected) in kJ per mole of atoms: -188

Tb4ErScS8 | PBE | optimized geometry

```
Tb4ErScS8
1.0
7.995 0.000 0.000
3.998 6.924 0.000
3.998 2.308 6.515
S Tb Sc Er
8 4 1 1
direct
0.761 0.761 0.255
0.757 0.245 0.752
0.759 0.759 0.724
0.223 0.761 0.255
0.245 0.757 0.752
0.248 0.248 0.255
0.761 0.223 0.255
0.245 0.245 0.752
0.490 0.003 0.503
0.003 0.490 0.503
0.625 0.625 0.126
0.003 0.003 0.503
0.375 0.375 0.874
0.003 0.003 0.990
```

Output
Uncorrected energy in eV per cell: -89.35
Crystal system: trigonal
E_form (uncorrected) in kJ per mole of atoms: -185

TbEr2Sc3S6 | PBE | optimized geometry

```
TbEr2Sc3S6
1.0
-0.254 -1.045 3.629
2.524 -6.937 -1.820
7.053 4.676 -0.134
Tb S Sc Er
1 6 3 2
direct
0.500 0.000 0.000
0.329 0.922 0.657
0.664 0.590 0.329
0.671 0.078 0.343
0.003 0.739 0.005
0.997 0.261 0.995
0.336 0.410 0.671
0.834 0.166 0.669
0.166 0.834 0.331
0.500 0.500 0.000
0.834 0.668 0.668
0.166 0.332 0.332
```

Output
Uncorrected energy in eV per cell: -80.49
Crystal system: monoclinic
E_form (uncorrected) in kJ per mole of atoms: -185

ErScTeS | PBE | optimized geometry

```
ErScTeS
1.0
-2.328 2.807 -1.357
-1.441 -3.541 0.726
0.567 1.236 7.159
S Te Sc Er
1 1 1 1
direct
0.299 0.547 0.862
0.974 0.385 0.374
0.499 0.147 0.661
0.106 0.951 0.073
```

Output
Uncorrected energy in eV per cell: -24.43
Crystal system: trigonal
E_form (uncorrected) in kJ per mole of atoms: -151

ErTh2ScS4 | PBE | optimized geometry

```
ErTh2ScS4
1.0
-0.113 3.445 -1.706
-6.975 -0.639 -0.830
-2.979 2.537 5.320
Sc S Er Th
1 4 1 2
direct
0.500 0.500 0.000
0.500 0.275 0.748
0.000 0.722 0.765
0.500 0.725 0.252
0.000 0.278 0.235
0.000 0.500 0.500
0.000 0.000 0.000
0.500 0.000 0.500
```

Output
Uncorrected energy in eV per cell: -57.07
Crystal system: monoclinic
E_form (uncorrected) in kJ per mole of atoms: -179

Number 1: M_tot 0.000 μB per atom. Number 2: M_tot 0.000 μB per atom. Number 3: M_tot 0.054 μB per atom. Number 4: M_tot 0.000 μB per atom. Number 5: M_tot 0.000 μB per atom. Number 6: M_tot 0.000 μB per atom.